The following is a DFT calculation (PBE-GGA) of an optimized crystal structure of Co2C.

Structure (POSCAR):
```
Co2C
1.0
4.7858 0.0027 0.0017
4.0666 2.5231 0.0017
4.0666 1.1603 2.2405
C Co
1 2
direct
0.9995 0.9995 0.9995
0.7566 0.7566 0.7566
0.5772 0.5772 0.5772
```

Volume, Å³ per cell: 27
Formation energy, kJ/mol of formula units: 82